## Ca2YTc (GGA-PBE)

Data for a relaxed Ca2YTc crystal.

## Properties
M_tot = 0.5 μB per formula unit
DFT formation energy = 0.330 eV per atom
DFT total energy = -0.179 Ha/atom

Cell lengths 3.4056, 4.6880, 15.9100 Å; angles 90.00, 90.00, 90.00 degrees
Space group Immm (No. 71)
Inequivalent atoms, fractional coordinates:
Ca 0.0000 0.0000 0.1617 (multiplicity 4)
Y 0.0000 0.5000 0.0000 (multiplicity 2)
Tc 0.0000 0.5000 0.5000 (multiplicity 2)